(1)
## TbU2S6 (GGA-PBE)

Data for crystalline TbU2S6 at its relaxed geometry.

Values from the calculation:
Fermi-level density of states ... 10.75 states/eV/cell
Relative energy among the computed polymorphs ... 0 meV per atom
Raw formation energy ... -1.445 eV/atom

Cell: 4.1185 7.2322 7.2322 Å, 120.00 90.00 90.00°
Last column: nearest neighbours and their distance in Å.
Sites, in units of the cell vectors:
S 0.2411 0.3034 0.9186  1 Tb 2.76, 3 U 2.79-2.87
S 0.7589 0.9186 0.6151  1 Tb 2.76, 3 U 2.79-2.87
S 0.7589 0.3849 0.3034  1 Tb 2.76, 3 U 2.79-2.87
S 0.2411 0.0814 0.3849  1 Tb 2.76, 3 U 2.79-2.87
S 0.7589 0.6966 0.0814  1 Tb 2.76, 3 U 2.79-2.87
S 0.2411 0.6151 0.6966  1 Tb 2.76, 3 U 2.79-2.87
U 0.2725 0.6667 0.3333  9 S 2.79-2.87
U 0.7275 0.3333 0.6667  9 S 2.79-2.87
Tb 0.5000 0.0000 0.0000  6 S 2.76

***

(2)
## TbU6S8 (GGA-PBE)

Data for crystalline TbU6S8 at its relaxed geometry.

Values from the calculation:
Fermi-level density of states ... 34.74 states/eV/cell
Relative energy among the computed polymorphs ... 0 meV per atom
Raw formation energy ... -1.470 eV/atom

Cell: 7.7157 7.7157 7.7157 Å, 60.00 60.00 60.00°
Last column: nearest neighbours and their distance in Å.
Sites, in units of the cell vectors:
Tb 0.0000 0.0000 0.0000  6 S 2.78
U 0.0000 0.5000 0.5000  6 S 2.73
U 0.5000 0.0000 0.0000  6 S 2.73
U 0.0000 0.5000 0.0000  6 S 2.73
U 0.0000 0.0000 0.5000  6 S 2.73
U 0.5000 0.0000 0.5000  6 S 2.73
U 0.5000 0.5000 0.0000  6 S 2.73
S 0.2548 0.7452 0.7452  4 U 2.73, 1 Tb 2.78
S 0.7500 0.7500 0.7500  6 U 2.73
S 0.2500 0.2500 0.2500  6 U 2.73
S 0.7452 0.2548 0.2548  4 U 2.73, 1 Tb 2.78
S 0.2548 0.2548 0.7452  4 U 2.73, 1 Tb 2.78
S 0.2548 0.7452 0.2548  4 U 2.73, 1 Tb 2.78
S 0.7452 0.2548 0.7452  4 U 2.73, 1 Tb 2.78
S 0.7452 0.7452 0.2548  4 U 2.73, 1 Tb 2.78

***

(3)
## TbU2S3 (GGA-PBE)

Data for crystalline TbU2S3 at its relaxed geometry.

Values from the calculation:
Fermi-level density of states ... 45.44 states/eV/cell
Raw formation energy ... -1.569 eV/atom

Cell: 5.4962 7.7515 11.6666 Å, 90.00 90.00 89.89°
Last column: nearest neighbours and their distance in Å.
Sites, in units of the cell vectors:
S 0.2504 0.6276 0.5833  3 U 2.74-2.75, 3 Tb 2.75
S 0.2504 0.1276 0.9167  3 U 2.74-2.75, 3 Tb 2.75
S 0.7513 0.8743 0.7516  4 U 2.74-2.75, 2 Tb 2.76
S 0.2487 0.1257 0.2484  4 U 2.74-2.75, 2 Tb 2.76
S 0.7513 0.3743 0.7484  4 U 2.74-2.75, 2 Tb 2.76
S 0.7496 0.3724 0.4167  3 U 2.74-2.75, 3 Tb 2.75
S 0.2507 0.6242 0.9157  5 U 2.73-2.75, 1 Tb 2.74
S 0.7496 0.8724 0.0833  3 U 2.74-2.75, 3 Tb 2.75
S 0.2487 0.6257 0.2516  4 U 2.74-2.75, 2 Tb 2.76
S 0.2507 0.1242 0.5843  5 U 2.73-2.75, 1 Tb 2.74
S 0.7493 0.3758 0.0843  5 U 2.73-2.75, 1 Tb 2.74
S 0.7493 0.8758 0.4157  5 U 2.73-2.75, 1 Tb 2.74
U 0.2512 0.3760 0.7485  6 S 2.73-2.75
U 0.7488 0.1240 0.2485  6 S 2.73-2.75
U 0.7507 0.6225 0.9163  6 S 2.74-2.75
U 0.7507 0.1225 0.5837  6 S 2.74-2.75
U 0.2493 0.3775 0.0837  6 S 2.74-2.75
U 0.2512 0.8760 0.7515  6 S 2.73-2.75
U 0.7488 0.6240 0.2515  6 S 2.73-2.75
U 0.2493 0.8775 0.4163  6 S 2.74-2.75
Tb 0.2496 0.8739 0.0817  6 S 2.74-2.76
Tb 0.2496 0.3739 0.4183  6 S 2.74-2.76
Tb 0.7504 0.6261 0.5817  6 S 2.74-2.76
Tb 0.7504 0.1261 0.9183  6 S 2.74-2.76

***

(4)
## TbU2S4 (GGA-PBE)

Data for crystalline TbU2S4 at its relaxed geometry.

Values from the calculation:
Fermi-level density of states ... 20.96 states/eV/cell
Raw formation energy ... -1.537 eV/atom

Cell: 3.7447 6.7485 13.2250 Å, 90.00 90.00 106.11°
Last column: nearest neighbours and their distance in Å.
Sites, in units of the cell vectors:
S 0.7803 0.5606 0.1264  3 U 2.76-2.77, 2 Tb 2.81
S 0.5000 0.0000 0.0000  4 U 2.72
S 0.2197 0.4394 0.6264  3 U 2.76-2.77, 2 Tb 2.81
S 0.5000 0.0000 0.5000  4 U 2.72
S 0.9616 0.9231 0.7500  2 U 2.74, 2 Tb 2.77
S 0.0384 0.0769 0.2500  2 U 2.74, 2 Tb 2.77
S 0.7803 0.5606 0.3736  3 U 2.76-2.77, 2 Tb 2.81
S 0.2197 0.4394 0.8736  3 U 2.76-2.77, 2 Tb 2.81
U 0.1358 0.2717 0.0664  6 S 2.72-2.77
U 0.8642 0.7283 0.9336  6 S 2.72-2.77
U 0.8642 0.7283 0.5664  6 S 2.72-2.77
U 0.1358 0.2717 0.4336  6 S 2.72-2.77
Tb 0.6186 0.2372 0.7500  6 S 2.77-2.81
Tb 0.3814 0.7628 0.2500  6 S 2.77-2.81

***

(5)
## Tb6US8 (GGA-PBE)

Data for crystalline Tb6US8 at its relaxed geometry.

Values from the calculation:
Fermi-level density of states ... 12.22 states/eV/cell
Raw formation energy ... -1.923 eV/atom

Cell: 7.8395 7.8395 7.8395 Å, 60.00 60.00 60.00°
Last column: nearest neighbours and their distance in Å.
Sites, in units of the cell vectors:
Tb 0.0000 0.5000 0.0000  6 S 2.77
Tb 0.5000 0.0000 0.5000  6 S 2.77
Tb 0.5000 0.0000 0.0000  6 S 2.77
Tb 0.0000 0.0000 0.5000  6 S 2.77
Tb 0.5000 0.5000 0.0000  6 S 2.77
Tb 0.0000 0.5000 0.5000  6 S 2.77
S 0.2507 0.7493 0.7493  4 Tb 2.77, 1 U 2.78
S 0.7500 0.7500 0.7500  6 Tb 2.77
S 0.7493 0.7493 0.2507  4 Tb 2.77, 1 U 2.78
S 0.7493 0.2507 0.7493  4 Tb 2.77, 1 U 2.78
S 0.7493 0.2507 0.2507  4 Tb 2.77, 1 U 2.78
S 0.2500 0.2500 0.2500  6 Tb 2.77
S 0.2507 0.7493 0.2507  4 Tb 2.77, 1 U 2.78
S 0.2507 0.2507 0.7493  4 Tb 2.77, 1 U 2.78
U 0.0000 0.0000 0.0000  6 S 2.78

***

(6)
## Tb2U2S7 (GGA-PBE)

Data for crystalline Tb2U2S7 at its relaxed geometry.

Values from the calculation:
Fermi-level density of states ... 12.59 states/eV/cell
Relative energy among the computed polymorphs ... 10 meV per atom
Raw formation energy ... -1.661 eV/atom

Cell: 3.9016 8.4252 8.4252 Å, 61.21 76.61 76.61°
Last column: nearest neighbours and their distance in Å.
Sites, in units of the cell vectors:
S 0.1862 0.7039 0.9237  3 U 2.69-2.80, 1 Tb 2.74
S 0.8586 0.4206 0.8622  2 Tb 2.81, 3 U 2.92-3.10
S 0.1414 0.1378 0.5794  2 Tb 2.81, 3 U 2.92-3.10
S 0.8138 0.0763 0.2961  3 U 2.69-2.80, 1 Tb 2.74
S 0.5000 0.0118 0.9882  3 Tb 2.71-2.72
S 0.3879 0.7188 0.5053  2 U 2.83, 3 Tb 2.86-2.96, 1 S 3.13
S 0.6121 0.4947 0.2812  2 U 2.83, 3 Tb 2.86-2.96, 1 S 3.13
U 0.2584 0.3276 0.1555  7 S 2.69-2.92
U 0.7416 0.8445 0.6724  7 S 2.69-2.92
Tb 0.5000 0.3276 0.6724  7 S 2.71-2.86
Tb 0.0000 0.7903 0.2097  8 S 2.72-2.96

***

(7)
## Tb2US3 (GGA-PBE)

Data for crystalline Tb2US3 at its relaxed geometry.

Values from the calculation:
Fermi-level density of states ... 14.96 states/eV/cell
Raw formation energy ... -1.775 eV/atom

Cell: 6.7517 6.7517 6.8134 Å, 99.51 99.51 120.03°
Last column: nearest neighbours and their distance in Å.
Sites, in units of the cell vectors:
S 0.2499 0.2481 0.7501  2 U 2.76, 4 Tb 2.77-2.78
S 0.4167 0.0852 0.2499  2 U 2.76, 4 Tb 2.77-2.78
S 0.5858 0.9191 0.7518  2 U 2.75, 4 Tb 2.76-2.77
S 0.7519 0.7501 0.2499  2 U 2.76, 4 Tb 2.77-2.78
S 0.9148 0.5833 0.7501  2 U 2.76, 4 Tb 2.77-2.78
S 0.0809 0.4142 0.2482  2 U 2.75, 4 Tb 2.76-2.77
Tb 0.4978 0.5022 0.5000  6 S 2.76-2.77
Tb 0.8333 0.1667 0.5000  6 S 2.76-2.77
Tb 0.1689 0.8311 0.5000  6 S 2.76-2.77
Tb 0.3333 0.6667 0.0000  6 S 2.77-2.78
U 0.9997 0.0003 0.0000  6 S 2.75-2.76
U 0.6669 0.3331 0.0000  6 S 2.75-2.76

***

(8)
## TbUS4 (GGA-PBE)

Data for crystalline TbUS4 at its relaxed geometry.

Values from the calculation:
Fermi-level density of states ... 4.94 states/eV/cell
Relative energy among the computed polymorphs ... 67 meV per atom
Raw formation energy ... -1.504 eV/atom

Cell: 4.1076 6.2650 6.2650 Å, 91.06 90.00 90.00°
Last column: nearest neighbours and their distance in Å.
Sites, in units of the cell vectors:
Tb 0.5000 0.0000 0.0000  6 S 2.73-2.80
S 0.5000 0.3131 0.6869  2 U 2.65, 1 Tb 2.80
S 0.5000 0.6869 0.3131  2 U 2.65, 1 Tb 2.80
S 0.0000 0.2046 0.2046  1 U 2.59, 2 Tb 2.73
S 0.0000 0.7954 0.7954  1 U 2.59, 2 Tb 2.73
U 0.0000 0.5000 0.5000  6 S 2.59-2.65

***

(9)
## TbUS2 (GGA-PBE)

Data for crystalline TbUS2 at its relaxed geometry.

Values from the calculation:
Fermi-level density of states ... 9.78 states/eV/cell
Relative energy among the computed polymorphs ... 37 meV per atom
Raw formation energy ... -1.639 eV/atom

Cell: 3.8128 3.8128 13.4399 Å, 90.00 90.00 120.00°
Last column: nearest neighbours and their distance in Å.
Sites, in units of the cell vectors:
S 0.3333 0.6667 0.3762  3 U 2.76, 3 Tb 2.78
S 0.3333 0.6667 0.1238  3 U 2.76, 3 Tb 2.78
S 0.6667 0.3333 0.8762  3 U 2.76, 3 Tb 2.78
S 0.6667 0.3333 0.6238  3 U 2.76, 3 Tb 2.78
Tb 0.3333 0.6667 0.7500  6 S 2.78
Tb 0.6667 0.3333 0.2500  6 S 2.78
U 0.0000 0.0000 0.0000  6 S 2.76
U 0.0000 0.0000 0.5000  6 S 2.76

***

(10)
## TbUS4 (GGA-PBE)

Data for crystalline TbUS4 at its relaxed geometry.

Values from the calculation:
Fermi-level density of states ... 8.62 states/eV/cell
Relative energy among the computed polymorphs ... 0 meV per atom
Raw formation energy ... -1.571 eV/atom

Cell: 4.0374 6.9018 13.1660 Å, 99.70 90.00 90.00°
Last column: nearest neighbours and their distance in Å.
Sites, in units of the cell vectors:
S 0.0001 0.1495 0.3940  1 U 2.58, 2 Tb 2.75
S 0.5000 0.3826 0.6062  2 U 2.66, 1 Tb 2.77
S 0.0000 0.6174 0.8938  2 U 2.66, 1 Tb 2.77
S 0.5000 0.6174 0.3938  2 U 2.66, 1 Tb 2.77
S 0.5001 0.8505 0.1060  1 U 2.58, 2 Tb 2.75
S 0.9999 0.8505 0.6060  1 U 2.58, 2 Tb 2.75
S 0.0000 0.3826 0.1062  2 U 2.66, 1 Tb 2.77
S 0.4999 0.1495 0.8940  1 U 2.58, 2 Tb 2.75
Tb 0.0000 0.0000 0.0000  6 S 2.75-2.77
Tb 0.5000 0.0000 0.5000  6 S 2.75-2.77
U 0.0000 0.5000 0.5000  6 S 2.58-2.66
U 0.5000 0.5000 0.0000  6 S 2.58-2.66